1.
Crystalline BaIn12Bi4 at its relaxed geometry. Source: Alexandria via LeMat-Bulk, functional PBE.

extended XYZ file:
```
17
Lattice="9.144 0.000 0.000 -3.048 8.621 0.000 -3.048 -4.311 7.466" Properties=species:S:1:pos:R:3 pbc="T T T"
In 1.333 3.712 1.055
In 4.763 -1.541 4.779
Bi -1.524 -2.155 3.733
In -3.041 2.150 5.833
In -1.333 0.943 3.742
Bi 1.524 2.155 3.733
In 0.007 -1.816 6.411
In 6.089 2.161 1.633
Ba 0.000 0.000 0.000
In -0.007 4.644 4.779
In -1.715 5.852 2.688
In 4.381 3.368 3.724
Bi 4.572 0.000 0.000
In 3.056 -0.334 2.688
Bi -1.524 4.311 0.000
In 3.041 6.127 1.055
In 1.715 0.598 6.411
```

- Symmetry: Im-3, No. 204
- V: 34.62 A^3/atom
- Raw total energy: -0.2180 Ry per atom
- Magnetic moment: 0.00 μB per formula unit


2.
Crystalline BaIn2Bi2 at its relaxed geometry. Source: Alexandria via LeMat-Bulk, functional PBE.

extended XYZ file:
```
10
Lattice="-0.931 4.325 -7.882 -3.651 -7.423 -3.642 -3.899 1.333 1.192" Properties=species:S:1:pos:R:3 pbc="T T T"
Ba 0.000 0.000 0.000
Bi -3.543 -4.873 -6.141
Bi -1.039 1.775 -5.383
In -2.829 1.041 -2.700
Bi -3.096 -0.857 -9.173
In -4.472 -3.517 -2.979
Bi -1.485 -2.242 -2.352
In -5.652 -2.806 -7.633
Ba -2.291 -1.549 -5.762
In -4.008 1.751 -7.354
```

- Symmetry: P4/mbm, No. 127
- V: 35.04 A^3/atom
- Raw total energy: -0.2408 Ry per atom
- Magnetic moment: 0.00 μB per formula unit


3.
Crystalline BaInBiIr2 at its relaxed geometry. Source: Alexandria via LeMat-Bulk, functional PBE.

extended XYZ file:
```
5
Lattice="-4.224 2.866 0.291 -2.375 -2.994 -4.997 -2.138 -3.465 3.093" Properties=species:S:1:pos:R:3 pbc="T T T"
Ba -1.188 -1.497 -2.498
Bi 0.000 0.000 0.000
Ir -2.112 1.433 0.145
In -4.369 -1.797 -0.806
Ir -1.069 -1.733 1.546
```

- Symmetry: P4/mmm, No. 123
- V: 32.89 A^3/atom
- Raw total energy: -0.3079 Ry per atom
- Magnetic moment: 0.00 μB per formula unit


4.
Crystalline KBaInBi at its relaxed geometry. Source: Alexandria via LeMat-Bulk, functional PBE.

extended XYZ file:
```
4
Lattice="6.032 0.000 0.000 3.016 5.224 0.000 3.016 1.741 4.925" Properties=species:S:1:pos:R:3 pbc="T T T"
K 0.000 0.000 0.000
Bi 9.049 5.224 3.694
Ba 6.032 3.483 2.463
In 3.016 1.741 1.231
```

- Symmetry: F-43m, No. 216
- V: 38.81 A^3/atom
- Raw total energy: -0.2045 Ry per atom
- Magnetic moment: 0.00 μB per formula unit


5.
Crystalline KBa2InBi2 at its relaxed geometry. Source: Alexandria via LeMat-Bulk, functional PBE.

extended XYZ file:
```
12
Lattice="-5.182 2.176 -4.732 -5.163 -1.697 4.873 5.619 8.382 3.404" Properties=species:S:1:pos:R:3 pbc="T T T"
Ba 1.515 5.127 3.391
Ba -3.513 5.306 3.593
Bi -3.783 3.936 -2.637
K -3.872 -1.273 3.655
K -1.291 -0.424 1.218
Bi -3.743 1.987 2.194
Bi -0.984 6.873 1.351
Ba -6.242 3.732 0.154
Ba -1.214 3.554 -0.048
In -3.882 0.663 -1.148
In -6.463 -0.185 1.289
Bi -0.943 4.924 6.182
```

- Symmetry: Ibam, No. 72
- V: 41.59 A^3/atom
- Raw total energy: -0.2312 Ry per atom
- Magnetic moment: 0.00 μB per formula unit


6.
Crystalline Ba2LiInBi6 at its relaxed geometry. Source: Alexandria via LeMat-Bulk, functional PBE.

extended XYZ file:
```
10
Lattice="-1.782 2.912 -6.664 -8.700 2.202 3.265 -3.133 6.678 1.122" Properties=species:S:1:pos:R:3 pbc="T T T"
In 0.000 0.000 0.000
Bi -6.995 2.700 0.643
Bi -9.573 8.122 -2.990
Ba -8.860 5.985 0.334
Li -5.241 2.557 -1.700
Ba -4.755 5.807 -2.612
Bi -11.051 10.237 -1.249
Bi -6.620 9.092 -2.920
Bi -2.564 1.555 -1.028
Bi -4.042 3.669 0.712
```

- Symmetry: P-1, No. 2
- V: 37.43 A^3/atom
- Raw total energy: -0.2588 Ry per atom
- Magnetic moment: 0.00 μB per formula unit


7.
Crystalline Ba2Li4InBi3 at its relaxed geometry. Source: Alexandria via LeMat-Bulk, functional PBE.

extended XYZ file:
```
10
Lattice="-1.064 -4.049 2.600 -0.598 -2.531 -4.186 11.408 -2.914 0.132" Properties=species:S:1:pos:R:3 pbc="T T T"
Li 6.669 -3.864 1.383
Bi 1.205 -1.650 -2.076
In 4.873 -4.747 -0.727
Ba 2.184 -2.718 1.331
Li 0.000 0.000 0.000
Li 3.908 -2.340 -2.044
Bi 9.372 -4.554 1.415
Ba 8.393 -3.486 -1.992
Bi 5.704 -1.457 0.066
Li -0.831 -3.290 -0.793
```

- Symmetry: P-4m2, No. 115
- V: 28.60 A^3/atom
- Raw total energy: -0.2360 Ry per atom
- Magnetic moment: 0.00 μB per formula unit


8.
Crystalline BaLiIn2Bi at its relaxed geometry. Source: Alexandria via LeMat-Bulk, functional PBE.

extended XYZ file:
```
5
Lattice="6.202 0.000 0.000 0.000 5.633 0.000 0.000 0.000 6.202" Properties=species:S:1:pos:R:3 pbc="T T T"
In 0.000 0.000 3.101
In 3.101 0.000 0.000
Ba 0.000 0.000 0.000
Li 0.000 2.816 0.000
Bi 3.101 2.816 3.101
```

- Symmetry: P4/mmm, No. 123
- V: 43.33 A^3/atom
- Raw total energy: -0.1349 Ry per atom
- Magnetic moment: 0.00 μB per formula unit